DFT (PBE) results for a relaxed PmCuIr crystal.

POSCAR file:
```
PmCuIr
1.0
0.0000 3.2629 3.2629
3.2629 0.0000 3.2629
3.2629 3.2629 0.0000
Pm Cu Ir
1 1 1
Direct
0.0000 0.0000 0.0000
0.7500 0.7500 0.7500
0.2500 0.2500 0.2500
```

Results
- Formation energy: 0.409 eV/atom
- ΔE to the lowest computed polymorph: 465 meV per atom
- Magnetic moment: 0.007 μB per cell